Density functional theory data (PBE+U) for a relaxed Na2FeSiO4 crystal.

Lattice parameters (Å, degrees): 5.1734 5.1734 5.4279 121.64 121.64 84.21
Positions (direct):
1 Na 0.0000 0.0000 0.0000
2 Na 0.7507 0.2493 0.5000
3 Fe 0.2508 0.7492 0.5000
4 Si 0.5009 0.4991 0.0000
5 O 0.2100 0.4727 0.6427
6 O 0.4345 0.1681 0.9599
7 O 0.5273 0.7900 0.3573
8 O 0.8319 0.5655 0.0401

## Properties
Calculated volume = 102.2 Å³ per cell
E = -50.33 eV per cell
Spin magnetization = 4.0 Bohr magnetons per cell
Space-group type = C2
N(E_F) = 0.000 states/eV/f.u.